Record 1
Entry from Alexandria via LeMat-Bulk: a geometry-optimized ErGe2Os structure (PBE).

- Energy of formation from the pure elements: -0.225 eV per atom
- D(E_F): 1.481 states/eV per cell
- Calculated total energy: -6.4815 eV per atom
- Calculated volume: 69.10 Å³/cell

Geometry as POSCAR:
```
ErGe2Os
1.0
2.317 1.338 3.714
-2.317 1.338 3.714
0.000 -2.676 3.714
Er Ge Os
1 2 1
Direct
0.000 0.000 0.000 Er
0.252 0.252 0.252 Ge
0.748 0.748 0.748 Ge
0.500 0.500 0.500 Os
```

Record 2
Entry from Alexandria via LeMat-Bulk: a geometry-optimized GaHgB3 structure (PBE).

- Energy of formation from the pure elements: 2.226 eV per atom
- D(E_F): 2.522 states/eV per cell
- Calculated total energy: -2.4463 eV per atom
- Calculated volume: 86.62 Å³/cell

Geometry as POSCAR:
```
GaHgB3
1.0
4.425 0.000 0.000
0.000 4.425 0.000
0.000 0.000 4.425
Ga Hg B
1 1 3
Direct
0.000 0.000 0.000 Ga
0.500 0.500 0.500 Hg
0.000 0.500 0.500 B
0.500 0.000 0.500 B
0.500 0.500 0.000 B
```

Record 3
Entry from Alexandria via LeMat-Bulk: a geometry-optimized KLaCr2 structure (PBE).

- Energy of formation from the pure elements: 0.674 eV per atom
- D(E_F): 4.008 states/eV per cell
- Calculated total energy: -5.6444 eV per atom
- Calculated volume: 134.94 Å³/cell

Geometry as POSCAR:
```
KLaCr2
1.0
3.609 -2.079 0.000
3.609 2.079 0.000
-2.365 0.000 8.992
K La Cr
1 1 2
Direct
0.000 0.000 0.000 K
0.177 0.177 0.547 La
0.430 0.430 0.300 Cr
0.777 0.777 0.342 Cr
```

Record 4
Entry from Alexandria via LeMat-Bulk: a geometry-optimized Nd6HC2I3 structure (PBE).

- D(E_F): 5.624 states/eV per cell
- Calculated total energy: -5.2181 eV per atom
- Calculated volume: 307.15 Å³/cell

Geometry as POSCAR:
```
Nd6HC2I3
1.0
3.394 -5.863 0.000
3.394 5.863 0.000
-2.284 0.000 7.718
Nd H C I
6 1 2 3
Direct
0.093 0.442 0.824 Nd
0.208 0.208 0.177 Nd
0.442 0.093 0.824 Nd
0.558 0.907 0.176 Nd
0.792 0.792 0.823 Nd
0.907 0.558 0.176 Nd
0.500 0.500 0.000 H
0.166 0.834 0.000 C
0.834 0.166 0.000 C
0.000 0.000 0.500 I
0.333 0.667 0.500 I
0.667 0.333 0.500 I
```